The following is a PBE-GGA calculation of ErCu3Pd after structural relaxation, from the Alexandria database.

Cell lengths 9.4696, 9.4696, 9.4696 Å; angles 150.80, 150.80, 41.77 degrees
Sites, in units of the cell vectors:
Er: 0.1715 0.1715 0.0000
Er: 0.8285 0.8285 0.0000
Cu: 0.3754 0.6217 0.7537
Cu: 0.3783 0.1320 0.7537
Cu: 0.3783 0.6246 0.2463
Cu: 0.5692 0.0692 0.5000
Cu: 0.8680 0.6217 0.2463
Cu: 0.9308 0.4308 0.5000
Pd: 0.2500 0.7500 0.5000
Pd: 0.5000 0.5000 0.0000

Summary:
density of states at the Fermi level	0.607	states/eV per atom
space-group type	No. 119
formation enthalpy at 0 K	0.38	eV/f.u.
magnetic moment	0.0	μB per formula unit